Nd4ErAl: relaxed, GGA-PBE.

Cell: 3.6103 3.6103 14.4948 Å, 90.00 90.00 90.00°
With the nearest neighbours (Å) after each atom.
Space group P4/mmm (No. 123)
Unique sites:
Nd 0.0000 0.0000 0.1367 [2 per cell]  4 Al 3.23, 4 Nd 3.61
Nd 0.5000 0.5000 0.3241 [2 per cell]  4 Er 3.61, 8 Nd 3.61-3.73
Er 0.0000 0.0000 0.5000 [1 per cell]  8 Nd 3.61, 4 Er 3.61
Al 0.5000 0.5000 0.0000 [1 per cell]  8 Nd 3.23, 4 Al 3.61

Properties
The offset from the most stable computed form comes out at 0.0 meV/atom. The density of states at the Fermi level is 7.12 states/eV per cell.

NdEr4Al3: relaxed, GGA-PBE.

Cell: 3.3476 8.4750 14.9113 Å, 90.00 90.00 90.00°
With the nearest neighbours (Å) after each atom.
Space group Immm (No. 71)
Unique sites:
Nd 0.0000 0.0000 0.0000 [2 per cell]  4 Al 3.23, 4 Er 3.33, 2 Nd 3.35
Er 0.0000 0.3041 0.1418 [8 per cell]  5 Al 3.06-3.17, 3 Er 3.32-3.35, 1 Nd 3.33
Al 0.0000 0.0000 0.5000 [2 per cell]  8 Er 3.17, 2 Al 3.35
Al 0.0000 0.5000 0.3145 [4 per cell]  6 Er 3.06-3.14, 2 Nd 3.23, 2 Al 3.35

Properties
The density of states at the Fermi level is 14.62 states/eV per cell.

NdErAl: relaxed, GGA-PBE.

Cell: 3.5112 3.5112 23.8127 Å, 90.00 90.00 120.00°
With the nearest neighbours (Å) after each atom.
Space group R3m (No. 160, hexagonal axes)
Unique sites:
Nd 0.0000 0.0000 0.0000 [3 per cell]  3 Al 3.28, 6 Nd 3.51, 3 Er 3.63
Er 0.0000 0.0000 0.7933 [3 per cell]  3 Al 3.10
Al 0.0000 0.0000 0.2252 [3 per cell]  3 Er 3.10, 3 Nd 3.28

Properties
The offset from the most stable computed form comes out at 207.8 meV/atom. The density of states at the Fermi level is 9.01 states/eV per cell.

NdEr4Al: relaxed, GGA-PBE.

Cell: 5.3112 12.0055 10.9050 Å, 90.00 90.00 90.00°
With the nearest neighbours (Å) after each atom.
Space group Cmc2_1 (No. 36)
Unique sites:
Nd 0.0000 0.1824 0.0000 [4 per cell]  1 Al 3.16, 8 Er 3.24-3.53
Er 0.0000 0.0272 0.2902 [4 per cell]  2 Al 3.03
Er 0.0000 0.1786 0.5741 [4 per cell]  1 Al 3.05, 2 Nd 3.24, 1 Er 3.41
Er 0.0000 0.3190 0.2865 [4 per cell]  2 Al 3.36, 8 Er 3.47-3.65, 3 Nd 3.53
Er 0.0000 0.4963 0.0310 [4 per cell]  2 Al 3.25, 4 Er 3.42-3.51, 2 Nd 3.49
Al 0.0000 0.3523 0.7783 [4 per cell]  7 Er 3.03-3.36, 1 Nd 3.16

Properties
The offset from the most stable computed form comes out at 33.5 meV/atom. The density of states at the Fermi level is 23.58 states/eV per cell.

Nd2Er3Al2: relaxed, GGA-PBE.

Cell: 9.2139 5.3253 8.4955 Å, 90.00 111.28 90.00°
With the nearest neighbours (Å) after each atom.
Space group C2/m (No. 12)
Unique sites:
Nd 0.0857 0.0000 0.2573 [4 per cell]  4 Al 3.14-3.20, 3 Er 3.50
Er 0.0000 0.5000 0.5000 [2 per cell]  6 Al 3.33, 2 Er 3.59, 6 Nd 3.62-3.63
Er 0.1513 0.5000 0.9538 [4 per cell]  1 Al 3.04, 3 Er 3.16
Al 0.2207 0.0000 0.6616 [4 per cell]  4 Er 3.04-3.33, 4 Nd 3.14-3.20

Properties
The density of states at the Fermi level is 9.38 states/eV per cell.

NdEr3Al8: relaxed, GGA-PBE.

Cell: 5.5604 5.5604 9.1331 Å, 90.00 90.00 120.00°
With the nearest neighbours (Å) after each atom.
Space group P3m1 (No. 156)
Unique sites:
Nd 0.0000 0.0000 0.0000 [1 per cell]  12 Al 3.26-3.32, 4 Er 3.33-3.45
Er 0.0000 0.0000 0.3647 [1 per cell]  12 Al 3.22-3.27, 1 Nd 3.33, 3 Er 3.44
Er 0.6667 0.3333 0.4986 [1 per cell]  12 Al 3.23-3.26, 4 Er 3.32-3.44
Er 0.6667 0.3333 0.8625 [1 per cell]  12 Al 3.25-3.34, 1 Er 3.32, 3 Nd 3.45
Al 0.1622 0.3244 0.6793 [3 per cell]  6 Al 2.71-2.85
Al 0.3333 0.6667 0.4339 [1 per cell]  6 Al 2.78-2.80
Al 0.3333 0.6667 0.9304 [1 per cell]  6 Al 2.82-2.86
Al 0.5045 0.0090 0.1861 [3 per cell]  6 Al 2.71-2.86

Properties
The offset from the most stable computed form comes out at 8.7 meV/atom. The density of states at the Fermi level is 5.71 states/eV per cell.

NdErAl4: relaxed, GGA-PBE.

Cell: 7.9370 7.9370 7.9370 Å, 90.00 90.00 90.00°
With the nearest neighbours (Å) after each atom.
Space group F-43m (No. 216)
Unique sites:
Nd 0.0000 0.0000 0.0000 [4 per cell]  12 Al 3.29, 4 Er 3.44
Er 0.2500 0.2500 0.2500 [4 per cell]  12 Al 3.29, 4 Nd 3.44
Al 0.1249 0.1249 0.6249 [16 per cell]  6 Al 2.80-2.81

Properties
The density of states at the Fermi level is 19.94 states/eV per cell.

NdEr4Al5: relaxed, GGA-PBE.

Cell: 3.5927 3.5927 18.0506 Å, 90.00 90.00 90.00°
With the nearest neighbours (Å) after each atom.
Space group P4/mmm (No. 123)
Unique sites:
Nd 0.0000 0.0000 0.0000 [1 per cell]  8 Al 3.23, 4 Nd 3.59
Er 0.0000 0.0000 0.2069 [2 per cell]  8 Al 3.08-3.09
Er 0.0000 0.0000 0.4024 [2 per cell]  8 Al 3.09
Al 0.5000 0.5000 0.1104 [2 per cell]  4 Er 3.08, 4 Nd 3.23
Al 0.5000 0.5000 0.3045 [2 per cell]  8 Er 3.09
Al 0.5000 0.5000 0.5000 [1 per cell]  8 Er 3.09

Properties
The density of states at the Fermi level is 4.35 states/eV per cell.

NdEr2Al3: relaxed, GGA-PBE.

Cell: 3.6007 3.6007 10.9829 Å, 90.00 90.00 90.00°
With the nearest neighbours (Å) after each atom.
Space group P4/mmm (No. 123)
Unique sites:
Nd 0.0000 0.0000 0.0000 [1 per cell]  8 Al 3.23, 4 Nd 3.60
Er 0.0000 0.0000 0.3393 [2 per cell]  8 Al 3.08-3.10
Al 0.5000 0.5000 0.1810 [2 per cell]  4 Er 3.08, 4 Nd 3.23
Al 0.5000 0.5000 0.5000 [1 per cell]  8 Er 3.10

Properties
The offset from the most stable computed form comes out at 0.0 meV/atom. The density of states at the Fermi level is 2.29 states/eV per cell.

Nd2Er8Al: relaxed, GGA-PBE.

Cell: 18.6420 5.3957 7.4209 Å, 90.00 113.39 90.00°
With the nearest neighbours (Å) after each atom.
Space group C2/m (No. 12)
Unique sites:
Nd 0.1929 0.0000 0.1928 [4 per cell]  10 Er 3.39-3.72
Er 0.0002 0.0000 0.2566 [4 per cell]  2 Al 3.25, 7 Er 3.53-3.61
Er 0.1334 0.5000 0.3728 [4 per cell]  1 Al 2.99
Er 0.1328 0.5000 0.8946 [4 per cell]  1 Al 2.99
Er 0.1805 0.0000 0.6811 [4 per cell]  8 Er 3.42-3.65, 4 Nd 3.46-3.72
Al 0.0000 0.5000 0.5000 [2 per cell]  8 Er 2.99-3.25

Properties
The density of states at the Fermi level is 29.49 states/eV per cell.

Nd2Er3Al3: relaxed, GGA-PBE.

Cell: 3.6997 5.1115 21.9111 Å, 90.00 90.00 90.00°
With the nearest neighbours (Å) after each atom.
Space group Immm (No. 71)
Unique sites:
Nd 0.0000 0.0000 0.2282 [4 per cell]  2 Al 3.15, 4 Nd 3.30
Er 0.0000 0.0000 0.0000 [2 per cell]  8 Al 3.07-3.15
Er 0.0000 0.5000 0.1161 [4 per cell]  6 Al 3.14-3.16
Al 0.0000 0.0000 0.5000 [2 per cell]  8 Er 3.14-3.15
Al 0.0000 0.5000 0.3884 [4 per cell]  6 Er 3.07-3.16, 2 Nd 3.15

Properties
The density of states at the Fermi level is 9.55 states/eV per cell.

NdEr3Al8: relaxed, GGA-PBE.

Cell: 5.5600 5.5600 27.4036 Å, 90.00 90.00 120.00°
With the nearest neighbours (Å) after each atom.
Space group R3m (No. 160, hexagonal axes)
Unique sites:
Nd 0.0000 0.0000 0.0000 [3 per cell]  12 Al 3.26-3.30, 4 Er 3.41-3.43
Er 0.0000 0.0000 0.1253 [3 per cell]  12 Al 3.24-3.26, 3 Er 3.41, 1 Nd 3.43
Er 0.0000 0.0000 0.5006 [3 per cell]  12 Al 3.24-3.26, 4 Er 3.39-3.41
Er 0.0000 0.0000 0.6243 [3 per cell]  12 Al 3.26-3.32, 1 Er 3.39, 3 Nd 3.41
Al 0.0000 0.0000 0.3122 [3 per cell]  6 Al 2.80-2.83
Al 0.0000 0.0000 0.8129 [3 per cell]  6 Al 2.76-2.77
Al 0.0005 0.5003 0.0637 [9 per cell]  6 Al 2.77-2.83
Al 0.1671 0.3342 0.8949 [9 per cell]  6 Al 2.76-2.80

Properties
The offset from the most stable computed form comes out at 0.0 meV/atom. The density of states at the Fermi level is 30.29 states/eV per cell.

| no. | volume (Å³/cell) | energy relative to the elements (eV per atom) |
| --- | --- | --- |
| 1 | 189 | -0.09 |
| 2 | 423 | -0.13 |
| 3 | 254 | -0.02 |
| 4 | 695 | -0.09 |
| 5 | 388 | -0.19 |
| 6 | 245 | -0.49 |
| 7 | 500 | -0.49 |
| 8 | 233 | -0.39 |
| 9 | 142 | -0.38 |
| 10 | 685 | 0.02 |
| 11 | 414 | -0.27 |
| 12 | 734 | -0.50 |